[1]
Sc3Si2Ge2 | PBE | optimized geometry

formation energy without anion corrections: -655.5 meV/atom
raw total energy: -43.7 eV for the cell shown
theoretical density: 4.344 g/cm³
space group: Immm

POSCAR file:
```
Sc3Si2Ge2
1.0
-2.210 2.737 -1.428
2.202 0.075 -3.263
-5.072 -7.363 -1.218
Si Sc Ge
2 3 2
direct
0.566 0.566 0.132
0.434 0.434 0.868
0.681 0.181 0.361
0.319 0.819 0.639
0.000 0.000 0.000
0.841 0.341 0.682
0.159 0.659 0.318
```

[2]
ScSi3Ge | PBE | optimized geometry

formation energy without anion corrections: 748.4 meV/atom
raw total energy: -23.5 eV for the cell shown
distance to the lowest polymorph of the same formula: 0.00 eV per formula unit
theoretical density: 3.147 g/cm³
space group: Pm-3m

POSCAR file:
```
ScSi3Ge
1.0
4.740 0.000 0.000
0.000 4.740 0.000
0.000 0.000 4.740
Si Ge Sc
3 1 1
direct
0.500 0.000 0.000
0.000 0.500 0.000
0.000 0.000 0.500
0.000 0.000 0.000
0.500 0.500 0.500
```

[3]
Sc4SiGe | PBE | optimized geometry

formation energy without anion corrections: -539.2 meV/atom
raw total energy: -77.2 eV for the cell shown
theoretical density: 3.493 g/cm³
space group: P4/mmm

POSCAR file:
```
Sc4SiGe
1.0
-0.675 3.179 -5.556
-5.576 -3.037 -1.060
-3.146 4.704 3.071
Sc Si Ge
8 2 2
direct
0.750 0.250 0.254
0.750 0.250 0.746
0.750 0.750 0.254
0.250 0.250 0.746
0.250 0.750 0.746
0.250 0.250 0.254
0.250 0.750 0.254
0.750 0.750 0.746
0.500 0.000 0.500
0.000 0.500 0.500
0.500 0.500 0.000
0.000 0.000 0.000
```

[4]
ScSiGe2 | PBE | optimized geometry

formation energy without anion corrections: -118.9 meV/atom
raw total energy: -42.9 eV for the cell shown
theoretical density: 4.671 g/cm³
space group: I-42d

POSCAR file:
```
ScSiGe2
1.0
-6.842 0.124 -1.570
0.470 -6.519 -2.563
-3.860 -4.365 0.780
Ge Sc Si
4 2 2
direct
0.375 0.416 0.750
0.166 0.625 0.250
0.875 0.834 0.750
0.584 0.125 0.250
0.000 0.000 0.000
0.750 0.250 0.500
0.250 0.750 0.500
0.500 0.500 0.000
```

[5]
ScSiGe | PBE | optimized geometry

formation energy without anion corrections: -256.8 meV/atom
raw total energy: -17.1 eV for the cell shown
distance to the lowest polymorph of the same formula: 0.89 eV per formula unit
theoretical density: 4.443 g/cm³
space group: P-6m2

POSCAR file:
```
ScSiGe
1.0
3.289 0.000 0.000
0.000 4.372 0.000
0.000 -2.186 3.787
Si Sc Ge
1 1 1
direct
0.166 0.667 0.333
0.666 0.333 0.667
0.167 0.000 0.000
```

[6]
ScSi3Ge | PBE | optimized geometry

formation energy without anion corrections: 987.4 meV/atom
raw total energy: -22.3 eV for the cell shown
distance to the lowest polymorph of the same formula: 1.19 eV per formula unit
theoretical density: 2.717 g/cm³
space group: Pm-3m

POSCAR file:
```
ScSi3Ge
1.0
-3.852 -2.030 -2.412
-0.269 -3.583 3.445
-3.141 2.797 2.663
Si Sc Ge
3 1 1
direct
0.500 0.000 0.000
0.000 0.000 0.500
0.000 0.500 0.000
0.000 0.000 0.000
0.500 0.500 0.500
```

[7]
ScSiGe3 | PBE | optimized geometry

formation energy without anion corrections: 420.4 meV/atom
raw total energy: -23.5 eV for the cell shown
distance to the lowest polymorph of the same formula: 0.00 eV per formula unit
theoretical density: 4.440 g/cm³
space group: Pm-3m

POSCAR file:
```
ScSiGe3
1.0
4.774 0.000 0.000
0.000 4.774 0.000
0.000 0.000 4.774
Si Ge Sc
1 3 1
direct
0.000 0.000 0.000
0.000 0.500 0.000
0.000 0.000 0.500
0.500 0.000 0.000
0.500 0.500 0.500
```

[8]
Sc5Si2Ge | PBE | optimized geometry

formation energy without anion corrections: -741.9 meV/atom
raw total energy: -106.1 eV for the cell shown
theoretical density: 3.712 g/cm³
space group: I4/mcm

POSCAR file:
```
Sc5Si2Ge
1.0
6.421 0.000 -3.031
-1.431 6.259 -3.031
-0.133 -0.167 8.034
Sc Si Ge
10 4 2
direct
0.500 0.500 0.000
0.689 0.189 0.710
0.189 0.022 0.710
0.478 0.311 0.290
0.022 0.522 0.710
0.311 0.811 0.290
0.000 0.000 0.000
0.811 0.978 0.290
0.522 0.689 0.710
0.978 0.478 0.290
0.130 0.370 0.000
0.630 0.130 0.000
0.370 0.870 0.000
0.870 0.630 0.000
0.250 0.250 0.500
0.750 0.750 0.500
```

[9]
ScSiGe | PBE | optimized geometry

formation energy without anion corrections: -554.2 meV/atom
raw total energy: -36.1 eV for the cell shown
distance to the lowest polymorph of the same formula: 0.00 eV per formula unit
theoretical density: 4.538 g/cm³
space group: Cmcm

POSCAR file:
```
ScSiGe
1.0
3.736 0.000 0.000
0.000 3.876 0.000
0.000 -1.938 7.363
Sc Si Ge
2 2 2
direct
0.750 0.901 0.801
0.250 0.099 0.199
0.250 0.448 0.896
0.750 0.552 0.104
0.750 0.252 0.504
0.250 0.748 0.496
```

[10]
Sc6SiGe2Te3 | PBE | optimized geometry

formation energy without anion corrections: -997.9 meV/atom
raw total energy: -74.0 eV for the cell shown
theoretical density: 4.903 g/cm³
space group: C2/m

POSCAR file:
```
Sc6SiGe2Te3
1.0
4.006 0.000 0.000
0.000 8.147 0.191
-2.003 -2.451 8.512
Ge Sc Te Si
2 6 3 1
direct
0.167 0.333 0.333
0.833 0.667 0.667
0.007 0.230 0.013
0.674 0.565 0.347
0.341 0.900 0.683
0.659 0.100 0.317
0.326 0.435 0.653
0.993 0.770 0.987
0.500 0.500 0.000
0.167 0.833 0.334
0.833 0.167 0.666
0.500 0.000 0.000
```